(1)
A plane-wave DFT calculation with PBE-GGA was carried out for a geometry-optimized Pm2Co3B12Os structure.

Summary:
The mass density is 6.66 g/cm3. The final energy comes out at -6.7265 eV per atom. For the formation energy, the calculation gives 0.0611 eV per atom. For the magnetization, the calculation gives 2.02 μB/f.u.

Cell: 8.279 8.279 8.279 Å, 38.33 38.33 38.33°
Fractional coordinates of all 18 atoms:
Pm: 0.140 0.140 0.140
Pm: 0.860 0.860 0.860
Co: 0.000 0.500 0.500
Co: 0.500 0.000 0.500
Co: 0.500 0.500 0.000
B: 0.160 0.160 0.475
B: 0.160 0.475 0.160
B: 0.171 0.548 0.548
B: 0.452 0.452 0.829
B: 0.452 0.829 0.452
B: 0.475 0.160 0.160
B: 0.525 0.840 0.840
B: 0.548 0.171 0.548
B: 0.548 0.548 0.171
B: 0.829 0.452 0.452
B: 0.840 0.525 0.840
B: 0.840 0.840 0.525
Os: 0.500 0.500 0.500



(2)
A plane-wave DFT calculation with PBE-GGA was carried out for a geometry-optimized PrCoB2Os structure.

Summary:
The mass density is 9.35 g/cm3. The final energy comes out at -7.7296 eV per atom. For the formation energy, the calculation gives -0.4356 eV per atom. For the magnetization, the calculation gives 0.00 μB/f.u.

Cell: 5.713 5.713 5.713 Å, 141.06 141.06 56.25°
Fractional coordinates of all 5 atoms:
Pr: 0.000 0.000 0.000
Co: 0.750 0.250 0.500
B: 0.331 0.331 0.000
B: 0.669 0.669 0.000
Os: 0.250 0.750 0.500



(3)
A plane-wave DFT calculation with PBE-GGA was carried out for a geometry-optimized CoB2OsRu structure.

Summary:
The mass density is 9.62 g/cm3. The final energy comes out at -6.7462 eV per atom. For the formation energy, the calculation gives 1.4470 eV per atom. For the magnetization, the calculation gives 0.00 μB/f.u.

Cell: 3.638 3.638 4.849 Å, 90.00 90.00 90.00°
Fractional coordinates of all 5 atoms:
Co: 0.000 0.000 0.000
B: 0.000 0.500 0.000
B: 0.500 0.000 0.000
Os: 0.500 0.500 0.500
Ru: 0.000 0.000 0.500



(4)
A plane-wave DFT calculation with PBE-GGA was carried out for a geometry-optimized SrCoBOs2 structure.

Summary:
The mass density is 7.89 g/cm3. The final energy comes out at -3.6054 eV per atom. For the formation energy, the calculation gives 3.9795 eV per atom. For the magnetization, the calculation gives 4.05 μB/f.u.

Cell: 4.963 4.963 4.597 Å, 90.00 90.00 90.00°
Fractional coordinates of all 5 atoms:
Sr: 0.000 0.000 0.000
Co: 0.000 0.000 0.500
B: 0.500 0.500 0.500
Os: 0.000 0.500 0.000
Os: 0.500 0.000 0.000



(5)
A plane-wave DFT calculation with PBE-GGA was carried out for a geometry-optimized TbCoB2Os structure.

Summary:
The mass density is 10.52 g/cm3. The final energy comes out at -7.7592 eV per atom. For the formation energy, the calculation gives -0.4951 eV per atom. For the magnetization, the calculation gives 0.00 μB/f.u.

Cell: 5.462 5.462 5.462 Å, 139.58 139.58 58.48°
Fractional coordinates of all 5 atoms:
Tb: 0.000 0.000 0.000
Co: 0.750 0.250 0.500
B: 0.341 0.341 0.000
B: 0.659 0.659 0.000
Os: 0.250 0.750 0.500



(6)
A plane-wave DFT calculation with PBE-GGA was carried out for a geometry-optimized ThCoB2Os structure.

Summary:
The mass density is 11.87 g/cm3. The final energy comes out at -8.3041 eV per atom. For the formation energy, the calculation gives -0.4820 eV per atom. For the magnetization, the calculation gives 0.00 μB/f.u.

Cell: 5.585 5.585 5.585 Å, 140.35 140.35 57.32°
Fractional coordinates of all 5 atoms:
Th: 0.000 0.000 0.000
Co: 0.750 0.250 0.500
B: 0.344 0.344 0.000
B: 0.656 0.656 0.000
Os: 0.250 0.750 0.500



(7)
A plane-wave DFT calculation with PBE-GGA was carried out for a geometry-optimized TiCoB2Os structure.

Summary:
The mass density is 6.79 g/cm3. The final energy comes out at -6.8664 eV per atom. For the formation energy, the calculation gives 1.0506 eV per atom. For the magnetization, the calculation gives 1.21 μB/f.u.

Cell: 4.019 4.019 4.823 Å, 90.00 90.00 90.00°
Fractional coordinates of all 5 atoms:
Ti: 0.000 0.000 0.000
Co: 0.500 0.500 0.000
B: 0.000 0.500 0.500
B: 0.500 0.000 0.500
Os: 0.000 0.000 0.500



(8)
A plane-wave DFT calculation with PBE-GGA was carried out for a geometry-optimized U2Co3B12Os structure.

Summary:
The mass density is 8.55 g/cm3. The final energy comes out at -7.4289 eV per atom. For the formation energy, the calculation gives 0.0852 eV per atom. For the magnetization, the calculation gives 5.34 μB/f.u.

Cell: 8.140 8.140 8.140 Å, 38.64 38.64 38.64°
Fractional coordinates of all 18 atoms:
U: 0.141 0.141 0.141
U: 0.859 0.859 0.859
Co: 0.000 0.500 0.500
Co: 0.500 0.000 0.500
Co: 0.500 0.500 0.000
B: 0.154 0.154 0.481
B: 0.154 0.481 0.154
B: 0.165 0.554 0.554
B: 0.446 0.446 0.835
B: 0.446 0.835 0.446
B: 0.481 0.154 0.154
B: 0.519 0.846 0.846
B: 0.554 0.165 0.554
B: 0.554 0.554 0.165
B: 0.835 0.446 0.446
B: 0.846 0.519 0.846
B: 0.846 0.846 0.519
Os: 0.500 0.500 0.500